(1)
HgAs2Se2 | GGA-PBEsol | optimized geometry

a b c (Å): 5.218 5.613 5.218
angles (deg): 117.70 90.00 117.70
Fractional positions:
As  0.334  0.667  0.334
As  0.666  0.333  0.666
Hg  0.000  0.000  0.000
Se  0.250  0.500  0.750
Se  0.750  0.500  0.250

Results
Formation energy (no corrections) (meV per atom): 97
V (Å³ per atom): 23.0
Symmetry: I4/mmm
D(E_F) (states/eV/atom): 0.257



(2)
VCu3S4 | GGA-PBEsol | optimized geometry

a b c (Å): 5.306 5.306 5.306
angles (deg): 90.00 90.00 90.00
Fractional positions:
V  0.000  0.000  0.000
Cu  0.000  0.000  0.500
Cu  0.000  0.500  0.000
Cu  0.500  0.000  0.000
S  0.760  0.760  0.240
S  0.760  0.240  0.760
S  0.240  0.760  0.760
S  0.240  0.240  0.240

Results
Formation energy (no corrections) (meV per atom): -622
V (Å³ per atom): 18.7
Symmetry: P-43m



(3)
La2InRh | GGA-PBEsol | optimized geometry

a b c (Å): 3.946 4.816 6.103
angles (deg): 113.24 90.00 90.00
Fractional positions:
In  0.500  0.680  0.360
Rh  0.000  0.853  0.706
La  0.000  0.080  0.160
La  0.500  0.383  0.767

Results
Energy of formation (eV/atom): -0.535
V (Å³ per atom): 26.6
Symmetry: Amm2
D(E_F) (states/eV/atom): 0.793



(4)
Re2MoSe | GGA-PBEsol | optimized geometry

a b c (Å): 2.957 4.459 5.199
angles (deg): 115.39 106.52 90.00
Fractional positions:
Mo  0.226  0.726  0.452
Re  0.009  0.009  0.018
Re  0.768  0.268  0.536
Se  0.497  0.497  0.995

Results
Formation energy (no corrections) (meV per atom): 307
V (Å³ per atom): 14.7
Symmetry: Imm2
D(E_F) (states/eV/atom): 0.610



(5)
SrTaCd4 | GGA-PBEsol | optimized geometry

a b c (Å): 5.728 5.728 5.728
angles (deg): 60.00 60.00 60.00
Fractional positions:
Cd  0.374  0.374  0.374
Cd  0.374  0.374  0.878
Cd  0.878  0.374  0.374
Cd  0.374  0.878  0.374
Sr  0.750  0.750  0.750
Ta  0.000  0.000  0.000

Results
Energy of formation (eV/atom): 0.292
V (Å³ per atom): 22.2
Symmetry: F-43m
D(E_F) (states/eV/atom): 1.155



(6)
VRu3 | GGA-PBEsol | optimized geometry

a b c (Å): 4.210 5.379 5.379
angles (deg): 120.00 90.00 90.00
Fractional positions:
V  0.750  0.333  0.667
V  0.250  0.667  0.333
Ru  0.250  0.661  0.831
Ru  0.250  0.169  0.339
Ru  0.250  0.169  0.831
Ru  0.750  0.339  0.169
Ru  0.750  0.831  0.661
Ru  0.750  0.831  0.169

Results
Energy of formation (eV/atom): -0.103
V (Å³ per atom): 13.2
Symmetry: P6_3/mmc
D(E_F) (states/eV/atom): 1.371